No. 1
DFT (PBE-GGA) results for crystalline PrDy6Y4 at its relaxed geometry.

The structure belongs to space group I-42m (No. 121); the cell edges are 6.5650, 6.5650 and 17.2074 Å and the angles 90.00°, 90.00° and 90.00°. Symmetry generates all atoms from Pr at (0.0000, 0.0000, 0.0000), Dy at (0.0000, 0.5000, 0.0000), Dy at (0.1788, 0.1788, 0.3697) and Y at (0.1871, 0.1871, 0.1752).

The value obtained for the distance to the lowest polymorph of the same formula is 0.0 meV per atom. As for the total magnetic moment: 0.0 μB/f.u. For the formation energy, the calculation gives 313 meV per atom. For the electronic total energy, the calculation gives -4.98 eV/atom.

***

No. 2
DFT (PBE-GGA) results for crystalline PrDy2Y5 at its relaxed geometry.

The structure belongs to space group Cmcm (No. 63); the cell edges are 5.5979, 11.9739 and 15.8397 Å and the angles 90.00°, 90.00° and 90.00°. Symmetry generates all atoms from Pr at (0.0000, 0.2283, 0.2500), Dy at (0.0000, 0.2832, 0.6289), Y at (0.0000, 0.0447, 0.7500), Y at (0.0000, 0.1191, 0.0486) and Y at (0.0000, 0.4201, 0.0923).

The value obtained for the distance to the lowest polymorph of the same formula is 128.6 meV per atom. As for the total magnetic moment: 0.0 μB/f.u. For the formation energy, the calculation gives 136 meV per atom. For the electronic total energy, the calculation gives -5.65 eV/atom.

***

- Which formula does entry 1 have?
  PrDy6Y4

***

Repeat the second record exactly.
DFT (PBE-GGA) results for crystalline PrDy2Y5 at its relaxed geometry.

The structure belongs to space group Cmcm (No. 63); the cell edges are 5.5979, 11.9739 and 15.8397 Å and the angles 90.00°, 90.00° and 90.00°. Symmetry generates all atoms from Pr at (0.0000, 0.2283, 0.2500), Dy at (0.0000, 0.2832, 0.6289), Y at (0.0000, 0.0447, 0.7500), Y at (0.0000, 0.1191, 0.0486) and Y at (0.0000, 0.4201, 0.0923).

The value obtained for the distance to the lowest polymorph of the same formula is 128.6 meV per atom. As for the total magnetic moment: 0.0 μB/f.u. For the formation energy, the calculation gives 136 meV per atom. For the electronic total energy, the calculation gives -5.65 eV/atom.

***

Please write out number 2 again, unchanged.
DFT (PBE-GGA) results for crystalline PrDy2Y5 at its relaxed geometry.

The structure belongs to space group Cmcm (No. 63); the cell edges are 5.5979, 11.9739 and 15.8397 Å and the angles 90.00°, 90.00° and 90.00°. Symmetry generates all atoms from Pr at (0.0000, 0.2283, 0.2500), Dy at (0.0000, 0.2832, 0.6289), Y at (0.0000, 0.0447, 0.7500), Y at (0.0000, 0.1191, 0.0486) and Y at (0.0000, 0.4201, 0.0923).

The value obtained for the distance to the lowest polymorph of the same formula is 128.6 meV per atom. As for the total magnetic moment: 0.0 μB/f.u. For the formation energy, the calculation gives 136 meV per atom. For the electronic total energy, the calculation gives -5.65 eV/atom.